# Ga3MoN | Alexandria via LeMat-Bulk | PBE-GGA | optimized geometry
# - Volume: 14.35 Å³ per atom
# - Space-group type: No. 221
# - Raw total energy: -4.997 eV/atom
# - Energy relative to the lowest polymorph listed for this composition: 0.000 eV/atom
data_Ga3MoN
_chemical_formula_sum 'Ga3 Mo1 N1'
_cell_length_a 4.1558
_cell_length_b 4.1558
_cell_length_c 4.1558
_cell_angle_alpha 90.00
_cell_angle_beta 90.00
_cell_angle_gamma 90.00
_space_group_name_H-M_alt 'P 1'
_space_group_IT_number 1
loop_
_space_group_symop_operation_xyz
'x,y,z'
loop_
_atom_site_label
_atom_site_type_symbol
_atom_site_fract_x
_atom_site_fract_y
_atom_site_fract_z
Ga1 Ga 0.0000 0.5000 0.0000
N1 N 0.0000 0.0000 0.0000
Mo1 Mo 0.5000 0.5000 0.5000
Ga2 Ga 0.0000 0.0000 0.5000
Ga3 Ga 0.5000 0.0000 0.0000